! GGA-PBE PuCuGeRh, optimized geometry; values from VASP
! Formation energy, meV per atom: -159
! Magnetic moment, μB/f.u.: 4.6
! Mass density, g/cm3: 11.594
! DOS(E_F), states/eV/cell: 61.8
&SYSTEM
  ibrav = 0, nat = 16, ntyp = 4
/
ATOMIC_SPECIES
Pu 244.00 Pu.upf
Cu 63.55 Cu.upf
Ge 72.64 Ge.upf
Rh 102.91 Rh.upf
CELL_PARAMETERS angstrom
6.517 0.000 0.000
0.000 6.517 0.000
0.000 0.000 6.517
ATOMIC_POSITIONS angstrom
Pu 0.000 0.000 0.000
Pu 0.000 3.258 3.258
Pu 3.258 0.000 3.258
Pu 3.258 3.258 0.000
Cu 1.629 1.629 1.629
Cu 1.629 4.888 4.888
Cu 4.888 1.629 4.888
Cu 4.888 4.888 1.629
Ge 1.629 1.629 4.888
Ge 1.629 4.888 1.629
Ge 4.888 1.629 1.629
Ge 4.888 4.888 4.888
Rh 0.000 0.000 3.258
Rh 0.000 3.258 0.000
Rh 3.258 0.000 0.000
Rh 3.258 3.258 3.258